1.
Ba2SrZr: optimized geometry, PBE.

Values from the calculation:
volume = 180 Å³/cell
offset from the most stable computed form = 133.5 meV per atom
space group = Cmmm

a = 7.026 Å, b = 7.026 Å, c = 3.914 Å
α = 90.00°, β = 90.00°, γ = 111.51°
Element x y z (fractional)
Ba  0.000  0.000  0.000
Ba  0.500  0.500  0.000
Sr  0.500  0.000  0.500
Zr  0.000  0.500  0.500


2.
Ba2SrZr: optimized geometry, PBE.

Values from the calculation:
volume = 177 Å³/cell
offset from the most stable computed form = 134.4 meV per atom
space group = F-43m

a = 6.308 Å, b = 6.308 Å, c = 6.308 Å
α = 60.00°, β = 60.00°, γ = 60.00°
Element x y z (fractional)
Ba  0.000  0.000  0.000
Ba  0.250  0.250  0.250
Sr  0.500  0.500  0.500
Zr  0.750  0.750  0.750


3.
BaSrZr: optimized geometry, PBE.

Values from the calculation:
volume = 117 Å³/cell
offset from the most stable computed form = 167.3 meV per atom
space group = P3m1

a = 3.783 Å, b = 3.783 Å, c = 9.422 Å
α = 90.00°, β = 90.00°, γ = 120.00°
Element x y z (fractional)
Ba  0.000  0.000  0.967
Sr  0.333  0.667  0.369
Zr  0.667  0.333  0.664


4.
Ba2Sr2Zr: optimized geometry, PBE.

Values from the calculation:
volume = 510 Å³/cell
offset from the most stable computed form = 0.0 meV per atom
space group = P4/mbm

a = 9.016 Å, b = 9.016 Å, c = 6.273 Å
α = 90.00°, β = 90.00°, γ = 90.00°
Element x y z (fractional)
Sr  0.351  0.851  0.000
Sr  0.851  0.649  0.000
Sr  0.649  0.149  0.000
Sr  0.149  0.351  0.000
Ba  0.176  0.676  0.500
Ba  0.676  0.824  0.500
Ba  0.824  0.324  0.500
Ba  0.324  0.176  0.500
Zr  0.000  0.000  0.000
Zr  0.500  0.500  0.000